A relaxed structure of CsGa2N, computed with PBE.

Cell lengths 6.430, 6.430, 6.430 Å; angles 110.97, 110.97, 106.51 degrees
Fractional coordinates of all 8 atoms:
1 Cs 0.000 0.000 0.000
2 Cs 0.750 0.250 0.500
3 Ga 0.270 0.125 0.645
4 Ga 0.375 0.730 0.855
5 Ga 0.480 0.625 0.355
6 Ga 0.875 0.520 0.145
7 N 0.250 0.750 0.500
8 N 0.500 0.500 0.000

Formation energy (no corrections) ... 0.4105 eV per atom